A geometry-optimized Cu2TcNi structure, computed with GGA-PBE.

Space group: Immm (71)
Crystal system: orthorhombic
ΔH_f (0 K), eV/atom: 0.2330

a = 5.115 Å, b = 5.115 Å, c = 5.115 Å
α = 150.78°, β = 129.10°, γ = 59.77°
Sites, in units of the cell vectors:
Ni  0.750  0.250  0.500
Cu  0.511  0.511  0.000
Tc  0.250  0.750  0.500
Cu  0.989  0.989  0.000

=====

A geometry-optimized ThPH structure, computed with GGA-PBE.

Space group: P-6m2 (187)
Crystal system: hexagonal

a = 3.867 Å, b = 3.993 Å, c = 3.993 Å
α = 120.00°, β = 90.00°, γ = 90.00°
Sites, in units of the cell vectors:
P  0.667  0.333  0.667
Th  0.167  0.667  0.333
H  0.166  0.000  0.000

=====

A geometry-optimized HgBi2Au structure, computed with GGA-PBE.

Space group: Cm (8)
Crystal system: monoclinic
ΔH_f (0 K), eV/atom: 0.0117

a = 4.442 Å, b = 4.442 Å, c = 7.472 Å
α = 72.00°, β = 72.00°, γ = 60.25°
Sites, in units of the cell vectors:
Hg  0.501  0.501  0.500
Bi  0.264  0.264  0.195
Au  0.666  0.666  0.000
Bi  0.069  0.069  0.806

=====

A geometry-optimized Ca2TaNbGe structure, computed with GGA-PBE.

Space group: P4/mmm (123)
Crystal system: tetragonal
ΔH_f (0 K), eV/atom: 0.9823

a = 5.378 Å, b = 4.962 Å, c = 5.378 Å
α = 90.00°, β = 90.00°, γ = 90.00°
Sites, in units of the cell vectors:
Ca  0.500  0.000  0.000
Ta  0.000  0.500  0.000
Ca  0.000  0.000  0.500
Ge  0.000  0.000  0.000
Nb  0.500  0.500  0.500

=====

The records above give, respectively, N(E_F) values of 4.4 0.1 1.7 6.5 states/eV/cell.
The records above give, respectively, electronic total energy values of -5.85 -6.51 -2.82 -5.13 eV/atom.